Density functional theory data (PBE) for a geometry-optimized La3Cu5 structure.

* calculated total energy: -4.41 eV per atom
* ΔH_f (0 K): -0.01 eV/atom
* calculated volume: 22.1 A^3/atom
* N(E_F): 7.1 states/eV/f.u.

```
data_La3Cu5
_cell_length_a 6.833
_cell_length_b 10.139
_cell_length_c 5.114
_cell_angle_alpha 90.00
_cell_angle_beta 90.00
_cell_angle_gamma 90.00
_space_group_name_H-M_alt 'C m m m'
_space_group_IT_number 65
_space_group_name_Hall '-C 2 2'
loop_
_atom_site_label
_atom_site_type_symbol
_atom_site_fract_x
_atom_site_fract_y
_atom_site_fract_z
La1 La 0.000 0.000 0.000
La2 La 0.000 0.300 0.500
Cu1 Cu 0.000 0.500 0.000
Cu2 Cu 0.190 0.000 0.500
Cu3 Cu 0.250 0.250 0.000
```